(1)
Here is a PBEsol-optimized structure of TaOs2Au from the Alexandria database. Energies are from meta-GGA SCAN.

Lattice parameters (Å, degrees): 3.886 3.886 4.881 113.46 113.46 90.00
Element x y z (fractional)
Os1 0.500 0.500 0.000
Au1 0.250 0.750 0.500
Ta1 0.000 0.000 0.000
Os2 0.750 0.250 0.500

The value obtained for the magnetization is 0.000 μB per atom. As for the energy above the most stable polymorph in this dataset: 0.000 eV/atom. For the formation energy, the calculation gives -0.010 eV/atom. Its density of states at the Fermi level is 1.9 states/eV/f.u.

***

(2)
Here is a PBEsol-optimized structure of TcOsAu2 from the Alexandria database. Energies are from meta-GGA SCAN.

Lattice parameters (Å, degrees): 2.807 2.807 7.916 90.00 90.00 90.00
Element x y z (fractional)
Os1 0.000 0.000 0.526
Au1 0.500 0.500 0.260
Au2 0.000 0.000 0.989
Tc1 0.500 0.500 0.725

The value obtained for the magnetization is 0.000 μB per atom. As for the energy above the most stable polymorph in this dataset: 0.000 eV/atom. For the formation energy, the calculation gives 0.140 eV/atom. Its density of states at the Fermi level is 2.1 states/eV/f.u.

***

(3)
Here is a PBEsol-optimized structure of Tc2OsAu from the Alexandria database. Energies are from meta-GGA SCAN.

Lattice parameters (Å, degrees): 3.825 3.825 4.790 113.54 113.54 90.00
Element x y z (fractional)
Tc1 0.750 0.250 0.500
Au1 0.500 0.500 0.000
Tc2 0.250 0.750 0.500
Os1 0.000 0.000 0.000

The value obtained for the magnetization is 0.000 μB per atom. As for the energy above the most stable polymorph in this dataset: 0.117 eV/atom. For the formation energy, the calculation gives 0.285 eV/atom. Its density of states at the Fermi level is 4.6 states/eV/f.u.

***

(4)
Here is a PBEsol-optimized structure of Tc2OsAu from the Alexandria database. Energies are from meta-GGA SCAN.

Lattice parameters (Å, degrees): 2.706 2.706 7.993 90.00 90.00 90.00
Element x y z (fractional)
Os1 0.500 0.500 0.500
Tc1 0.000 0.000 0.266
Tc2 0.000 0.000 0.734
Au1 0.500 0.500 0.000

The value obtained for the magnetization is 0.000 μB per atom. As for the energy above the most stable polymorph in this dataset: 0.000 eV/atom. For the formation energy, the calculation gives 0.168 eV/atom. Its density of states at the Fermi level is 4.7 states/eV/f.u.

***

(5)
Here is a PBEsol-optimized structure of TcOsAu2 from the Alexandria database. Energies are from meta-GGA SCAN.

Lattice parameters (Å, degrees): 2.817 3.816 5.711 90.00 90.00 90.00
Element x y z (fractional)
Au1 0.500 0.000 0.997
Au2 0.000 0.500 0.253
Tc1 0.000 0.500 0.724
Os1 0.500 0.000 0.526

The value obtained for the magnetization is 0.000 μB per atom. As for the energy above the most stable polymorph in this dataset: 0.137 eV/atom. For the formation energy, the calculation gives 0.277 eV/atom. Its density of states at the Fermi level is 2.9 states/eV/f.u.

***

(6)
Here is a PBEsol-optimized structure of Tc2OsAu from the Alexandria database. Energies are from meta-GGA SCAN.

Lattice parameters (Å, degrees): 2.783 4.619 4.619 90.00 90.00 90.00
Element x y z (fractional)
Au1 0.500 0.500 0.500
Tc1 0.000 0.500 0.000
Tc2 0.000 0.000 0.500
Os1 0.500 0.000 0.000

The value obtained for the magnetization is 0.000 μB per atom. As for the energy above the most stable polymorph in this dataset: 0.384 eV/atom. For the formation energy, the calculation gives 0.552 eV/atom. Its density of states at the Fermi level is 3.8 states/eV/f.u.

***

(7)
Here is a PBEsol-optimized structure of TcOsAu2 from the Alexandria database. Energies are from meta-GGA SCAN.

Lattice parameters (Å, degrees): 2.719 4.727 5.551 114.66 103.29 92.02
Site moments in Bohr magnetons follow the coordinates.
Element x y z (fractional)
Os1 0.500 0.000 0.000  0.50
Au1 0.000 0.000 0.500  0.02
Tc1 0.000 0.500 0.000  0.29
Au2 0.500 0.500 0.500  0.02

The value obtained for the magnetization is 0.219 μB per atom. As for the energy above the most stable polymorph in this dataset: 0.517 eV/atom. For the formation energy, the calculation gives 0.657 eV/atom. Its density of states at the Fermi level is 3.5 states/eV/f.u.

***

(8)
Here is a PBEsol-optimized structure of TeOsAu2 from the Alexandria database. Energies are from meta-GGA SCAN.

Lattice parameters (Å, degrees): 2.913 2.913 10.144 81.75 81.75 60.00
Site moments in Bohr magnetons follow the coordinates.
Element x y z (fractional)
Au1 0.760 0.760 0.720  0.04
Te1 0.000 0.000 0.000  0.00
Au2 0.240 0.240 0.280  0.04
Os1 0.500 0.500 0.500  0.77

The value obtained for the magnetization is 0.237 μB per atom. As for the uncorrected formation energy: 0.747 eV per atom. Its density of states at the Fermi level is 3.1 states/eV/f.u.

***

(9)
Here is a PBEsol-optimized structure of TeOs2Au from the Alexandria database. Energies are from meta-GGA SCAN.

Lattice parameters (Å, degrees): 2.989 4.801 5.445 115.50 104.95 92.14
Element x y z (fractional)
Te1 0.500 0.000 0.000
Au1 0.000 0.500 0.000
Os1 0.500 0.500 0.500
Os2 0.000 0.000 0.500

The value obtained for the magnetization is 0.000 μB per atom. As for the uncorrected formation energy: 1.063 eV per atom. Its density of states at the Fermi level is 3.6 states/eV/f.u.

***

(10)
Here is a PBEsol-optimized structure of TeOs2Au from the Alexandria database. Energies are from meta-GGA SCAN.

Lattice parameters (Å, degrees): 3.569 4.256 4.256 90.00 90.00 90.00
Element x y z (fractional)
Os1 0.000 0.000 0.500
Te1 0.500 0.500 0.500
Au1 0.500 0.000 0.000
Os2 0.000 0.500 0.000

The value obtained for the magnetization is 0.000 μB per atom. As for the uncorrected formation energy: 0.957 eV per atom. Its density of states at the Fermi level is 2.5 states/eV/f.u.

***

(11)
Here is a PBEsol-optimized structure of TeOs2Au from the Alexandria database. Energies are from meta-GGA SCAN.

Lattice parameters (Å, degrees): 2.823 3.616 6.984 90.00 90.00 90.00
Element x y z (fractional)
Te1 0.000 0.000 0.467
Os1 0.000 0.000 0.035
Os2 0.500 0.500 0.207
Au1 0.500 0.500 0.790

The value obtained for the magnetization is 0.000 μB per atom. As for the uncorrected formation energy: 0.656 eV per atom. Its density of states at the Fermi level is 3.4 states/eV/f.u.

***

(12)
Here is a PBEsol-optimized structure of TeOsAu2 from the Alexandria database. Energies are from meta-GGA SCAN.

Lattice parameters (Å, degrees): 4.640 4.640 4.640 60.00 60.00 60.00
Element x y z (fractional)
Os1 0.500 0.500 0.500
Te1 0.250 0.250 0.250
Au1 0.750 0.750 0.750
Au2 0.000 0.000 0.000

The value obtained for the magnetization is 0.001 μB per atom. As for the uncorrected formation energy: 0.766 eV per atom. Its density of states at the Fermi level is 3.9 states/eV/f.u.

***

(13)
Here is a PBEsol-optimized structure of TiOs2Au from the Alexandria database. Energies are from meta-GGA SCAN.

Lattice parameters (Å, degrees): 4.387 4.387 4.387 60.00 60.00 60.00
Element x y z (fractional)
Os1 0.750 0.750 0.750
Ti1 0.000 0.000 0.000
Au1 0.500 0.500 0.500
Os2 0.250 0.250 0.250

The value obtained for the magnetization is 0.000 μB per atom. For the formation energy, the calculation gives 0.190 eV/atom. Its density of states at the Fermi level is 3.4 states/eV/f.u.

***

(14)
Here is a PBEsol-optimized structure of TlOsAu2 from the Alexandria database. Energies are from meta-GGA SCAN.

Lattice parameters (Å, degrees): 2.730 3.818 7.062 90.00 90.00 90.00
Element x y z (fractional)
Tl1 0.500 0.500 0.500
Os1 0.500 0.500 0.000
Au1 0.000 0.000 0.789
Au2 0.000 0.000 0.211

The value obtained for the magnetization is 0.000 μB per atom. As for the energy above the most stable polymorph in this dataset: 0.011 eV/atom. For the formation energy, the calculation gives 0.664 eV/atom. Its density of states at the Fermi level is 2.3 states/eV/f.u.

***

(15)
Here is a PBEsol-optimized structure of TlOs2Au from the Alexandria database. Energies are from meta-GGA SCAN.

Lattice parameters (Å, degrees): 2.828 3.979 5.933 90.00 90.00 90.00
Element x y z (fractional)
Os1 0.000 0.000 0.283
Au1 0.500 0.500 0.500
Os2 0.000 0.000 0.717
Tl1 0.500 0.500 0.000

The value obtained for the magnetization is 0.000 μB per atom. As for the energy above the most stable polymorph in this dataset: 0.137 eV/atom. For the formation energy, the calculation gives 1.147 eV/atom. Its density of states at the Fermi level is 3.7 states/eV/f.u.

***

(16)
Here is a PBEsol-optimized structure of TlOs2Au from the Alexandria database. Energies are from meta-GGA SCAN.

Lattice parameters (Å, degrees): 2.838 2.838 9.480 90.00 90.00 119.56
Element x y z (fractional)
Au1 0.500 0.500 0.000
Tl1 0.500 0.500 0.500
Os1 0.000 0.000 0.754
Os2 0.000 0.000 0.246

The value obtained for the magnetization is 0.001 μB per atom. As for the energy above the most stable polymorph in this dataset: 0.136 eV/atom. For the formation energy, the calculation gives 1.145 eV/atom. Its density of states at the Fermi level is 3.4 states/eV/f.u.

***

| no. | V (Å³ per cell) |
| --- | --- |
| 1 | 61 |
| 2 | 62 |
| 3 | 58 |
| 4 | 59 |
| 5 | 61 |
| 6 | 59 |
| 7 | 62 |
| 8 | 73 |
| 9 | 67 |
| 10 | 65 |
| 11 | 71 |
| 12 | 71 |
| 13 | 60 |
| 14 | 74 |
| 15 | 67 |
| 16 | 66 |